# Cr3B7ClO13 (PBE+U, optimized geometry)
# Size of the total moment, μB per cell: 96.00
# Uncorrected energy, eV per cell: -1515.5
# Fermi-level density of states, states/eV per atom: 0.000
# ρ, g/cm³: 3.42
data_Cr3B7ClO13
_symmetry_space_group_name_H-M 'F -4 3 c'
_symmetry_Int_Tables_number 219
_symmetry_space_group_name_Hall 'F -4a 2 3'
_cell_length_a 12.271
_cell_length_b 12.271
_cell_length_c 12.271
_cell_angle_alpha 90.00
_cell_angle_beta 90.00
_cell_angle_gamma 90.00
loop_
_atom_site_label
_atom_site_type_symbol
_atom_site_fract_x
_atom_site_fract_y
_atom_site_fract_z
Cr1 Cr 0.000 0.000 0.250
B1 B 0.000 0.250 0.250
B2 B 0.170 0.170 0.330
Cl1 Cl 0.000 0.000 0.000
O1 O 0.070 0.154 0.270
O2 O 0.250 0.250 0.250